[1]
The following is a DFT calculation (GGA-PBE) of a relaxed structure of La2SnRhPb.

Space-group type ... P4/mmm, No. 123
Energy of formation ... -0.631 eV per atom
DFT total energy ... -5.61 eV/atom

Cell: 5.5055 5.5055 5.1079 Å, 90.00 90.00 90.00°
Positions (direct):
Pb (0.5000, 0.5000, 0.5000)
La (0.5000, 0.0000, 0.0000)
La (0.0000, 0.5000, 0.0000)
Sn (0.0000, 0.0000, 0.5000)
Rh (0.0000, 0.0000, 0.0000)


[2]
The following is a DFT calculation (GGA-PBE) of a relaxed structure of La2Sn2Rh5Pb.

Space-group type ... P4/mbm, No. 127
Energy of formation ... -0.491 eV per atom
DFT total energy ... -6.32 eV/atom

Cell: 3.8038 10.4566 10.4566 Å, 90.00 90.00 90.00°
Positions (direct):
Pb (0.0000, 0.0000, 0.0000)
Pb (0.0000, 0.5000, 0.5000)
Sn (0.0000, 0.3770, 0.1230)
Sn (0.0000, 0.1230, 0.6230)
Sn (0.0000, 0.8770, 0.3770)
Sn (0.0000, 0.6230, 0.8770)
La (0.0000, 0.3250, 0.8250)
La (0.0000, 0.6750, 0.1750)
La (0.0000, 0.1750, 0.3250)
La (0.0000, 0.8250, 0.6750)
Rh (0.5000, 0.4362, 0.2905)
Rh (0.5000, 0.0638, 0.7905)
Rh (0.5000, 0.7095, 0.4362)
Rh (0.5000, 0.7905, 0.9362)
Rh (0.5000, 0.5638, 0.7095)
Rh (0.5000, 0.9362, 0.2095)
Rh (0.5000, 0.5000, 0.0000)
Rh (0.5000, 0.2095, 0.0638)
Rh (0.5000, 0.0000, 0.5000)
Rh (0.5000, 0.2905, 0.5638)


> What is the energy of formation in the first record?

-0.631 eV per atom


> Which of these has the lowest DFT total energy?

La2Sn2Rh5Pb